No. 1
Computed, not measured: MgMnGaO4 after structural relaxation at the PBE+U level of DFT.

## Properties
The calculation puts the electronic total energy at -6.44 eV/atom. Its size of the total moment is 2.00 μB/f.u.

Geometry as CIF:
```
data_MgMnGaO4
_chemical_formula_sum 'Mg4 Mn4 Ga4 O16'
_space_group_name_H-M_alt 'I m m a'
_space_group_IT_number 74
_space_group_name_Hall '-I 2b 2'
_cell_length_a 5.9146
_cell_length_b 5.9269
_cell_length_c 8.4982
_cell_angle_alpha 90.00
_cell_angle_beta 90.00
_cell_angle_gamma 90.00
loop_
_atom_site_label
_atom_site_fract_x
_atom_site_fract_y
_atom_site_fract_z
Mg1 0.0000 0.2500 0.1226
Mn1 0.2500 0.2500 0.7500
Ga1 0.0000 0.0000 0.5000
O1 0.0000 0.0234 0.7388
O2 0.2287 0.2500 0.5128
```

=====

No. 2
Computed, not measured: PaMoPb2O6 after structural relaxation at the PBE+U level of DFT.

## Properties
The calculation puts the electronic total energy at -7.49 eV/atom. Its size of the total moment is 3.00 μB/f.u.

Geometry as CIF:
```
data_PaMoPb2O6
_chemical_formula_sum 'Pa2 Mo2 Pb4 O12'
_space_group_name_H-M_alt 'C 1 2/m 1'
_space_group_IT_number 12
_cell_length_a 10.2919
_cell_length_b 6.0038
_cell_length_c 6.1396
_cell_angle_alpha 90.00
_cell_angle_beta 125.56
_cell_angle_gamma 90.00
loop_
_space_group_symop_operation_xyz
'x,y,z'
'-x,-y,-z'
'-x,y,-z'
'x,-y,z'
'x+1/2,y+1/2,z'
'-x+1/2,-y+1/2,-z'
'-x+1/2,y+1/2,-z'
'x+1/2,-y+1/2,z'
loop_
_atom_site_label
_atom_site_fract_x
_atom_site_fract_y
_atom_site_fract_z
Pa1 0.0000 0.0000 0.0000
Mo1 0.0000 0.5000 0.5000
Pb1 0.2463 0.0000 0.7127
O1 0.0565 0.2534 0.3080
O2 0.2483 0.0000 0.1657
```